1.
VASP calculation (PBE-GGA) on an optimized crystal structure of Li2NiRh.

It has space group Pmmm (No. 47), with a = 2.5011 Å, b = 4.0411 Å, c = 5.0759 Å, α = 90.00°, β = 90.00° and γ = 90.00°. The distinct sites, in fractional coordinates, are Li at (0.0000, 0.0000, 0.2499), Ni at (0.5000, 0.5000, 0.0000) and Rh at (0.5000, 0.5000, 0.5000).

Its density of states at the Fermi level is 1.099 states/eV/atom. The energy above the most stable polymorph in this dataset comes out at 13.2 kJ/mol of atoms. The total magnetization is 0.008 μB/atom. For the formation energy, the calculation gives 0.0070 eV/atom. The calculation puts the volume at 51 Å³ per cell.

---

2.
VASP calculation (PBE-GGA) on an optimized crystal structure of Li2NiRh.

It has space group Immm (No. 71), with a = 2.6643 Å, b = 4.3635 Å, c = 8.5787 Å, α = 90.00°, β = 90.00° and γ = 90.00°. The distinct sites, in fractional coordinates, are Li at (0.0000, 0.0000, 0.2417), Ni at (0.0000, 0.5000, 0.5000) and Rh at (0.0000, 0.5000, 0.0000).

Its density of states at the Fermi level is 0.933 states/eV/atom. The energy above the most stable polymorph in this dataset comes out at 0.5 kJ/mol of atoms. The total magnetization is 0.001 μB/atom. For the formation energy, the calculation gives -0.1244 eV/atom. The calculation puts the volume at 100 Å³ per cell.